! AsAuI2O | Alexandria | PBE-GGA | relaxed; values from VASP
&SYSTEM
  ibrav = 0, nat = 5, ntyp = 4
/
ATOMIC_SPECIES
As 74.92 As.upf
Au 196.97 Au.upf
I 126.90 I.upf
O 16.00 O.upf
CELL_PARAMETERS angstrom
5.7878 0.0000 0.0000
0.0000 5.7878 0.0000
0.0000 0.0000 3.7986
ATOMIC_POSITIONS crystal
As 0.0000 0.0000 0.0000
Au 0.5000 0.5000 0.5000
I 0.0000 0.5000 0.0000
I 0.5000 0.0000 0.0000
O 0.0000 0.0000 0.5000
! raw total energy	-3.110	eV/atom
! formation energy without anion corrections	0.087	eV/atom
! symmetry	P4/mmm